# 1
VASP calculation (GGA-PBE) on crystalline Sc12Tl3Tc at its relaxed geometry.

abc: 4.5111 4.5111 17.6713
angles: 90.00 90.00 90.00
Fractional coordinates of all 16 atoms:
1 Sc 0.0000 0.0000 0.0000
2 Sc 0.0000 0.0000 0.2427
3 Sc 0.0000 0.0000 0.5000
4 Sc 0.0000 0.0000 0.7573
5 Sc 0.0000 0.5000 0.1082
6 Sc 0.0000 0.5000 0.3709
7 Sc 0.0000 0.5000 0.6291
8 Sc 0.0000 0.5000 0.8918
9 Sc 0.5000 0.0000 0.1082
10 Sc 0.5000 0.0000 0.3709
11 Sc 0.5000 0.0000 0.6291
12 Sc 0.5000 0.0000 0.8918
13 Tl 0.5000 0.5000 0.2435
14 Tl 0.5000 0.5000 0.5000
15 Tl 0.5000 0.5000 0.7565
16 Tc 0.5000 0.5000 0.0000

**Symmetry**: P4/mmm


# 2
VASP calculation (GGA-PBE) on crystalline BaLaAu3 at its relaxed geometry.

abc: 5.6350 5.6350 5.6350
angles: 90.00 90.00 90.00
Fractional coordinates of all 5 atoms:
1 Ba 0.0000 0.0000 0.0000
2 La 0.5000 0.5000 0.5000
3 Au 0.0000 0.5000 0.5000
4 Au 0.5000 0.0000 0.5000
5 Au 0.5000 0.5000 0.0000

**Symmetry**: Pm-3m
**ΔE to the lowest computed polymorph**: 366.8 meV/atom


# 3
VASP calculation (GGA-PBE) on crystalline PmHoIn at its relaxed geometry.

abc: 5.2665 5.2665 3.6911
angles: 90.00 90.00 120.00
Fractional coordinates of all 3 atoms:
1 Pm 0.0000 0.0000 0.0000
2 Ho 0.6667 0.3333 0.5534
3 In 0.3333 0.6667 0.3572

**Symmetry**: P3m1
**ΔE to the lowest computed polymorph**: 108.9 meV/atom


# 4
VASP calculation (GGA-PBE) on crystalline PuInCuSn at its relaxed geometry.

abc: 5.0499 5.0499 5.0499
angles: 60.00 60.00 60.00
Fractional coordinates of all 4 atoms:
1 Pu 0.0000 0.0000 0.0000
2 In 0.5000 0.5000 0.5000
3 Cu 0.7500 0.7500 0.7500
4 Sn 0.2500 0.2500 0.2500

**Symmetry**: F-43m


# 5
VASP calculation (GGA-PBE) on crystalline Sc2GaCu2Rh5 at its relaxed geometry.

abc: 9.0355 9.0355 3.7719
angles: 90.00 90.00 90.00
Fractional coordinates of all 20 atoms:
1 Sc 0.1700 0.3300 0.0000
2 Sc 0.3300 0.8300 0.0000
3 Sc 0.6700 0.1700 0.0000
4 Sc 0.8300 0.6700 0.0000
5 Ga 0.0000 0.0000 0.0000
6 Ga 0.5000 0.5000 0.0000
7 Cu 0.1268 0.6268 0.0000
8 Cu 0.3732 0.1268 0.0000
9 Cu 0.6268 0.8732 0.0000
10 Cu 0.8732 0.3732 0.0000
11 Rh 0.0000 0.5000 0.5000
12 Rh 0.0779 0.8022 0.5000
13 Rh 0.1978 0.0779 0.5000
14 Rh 0.3022 0.5779 0.5000
15 Rh 0.4221 0.3022 0.5000
16 Rh 0.5000 0.0000 0.5000
17 Rh 0.5779 0.6978 0.5000
18 Rh 0.6978 0.4221 0.5000
19 Rh 0.8022 0.9221 0.5000
20 Rh 0.9221 0.1978 0.5000

**Symmetry**: P4/mbm


# 6
VASP calculation (GGA-PBE) on crystalline LiTl2Pd2 at its relaxed geometry.

abc: 5.3663 5.3663 5.3663
angles: 133.61 115.72 82.89
Fractional coordinates of all 5 atoms:
1 Li 0.0000 0.0000 0.0000
2 Tl 0.2984 0.7984 0.5000
3 Tl 0.7016 0.2016 0.5000
4 Pd 0.2612 0.5000 0.7612
5 Pd 0.7388 0.5000 0.2388

**Symmetry**: Immm
**ΔE to the lowest computed polymorph**: 0.0 meV/atom


no.,energy relative to the elements (meV/atom)
1,-156
2,-410
3,-237
4,-15
5,-469
6,-268